(1)
# Pr2Al7Ag

A relaxed Pr2Al7Ag crystal (PBE, Alexandria via LeMat-Bulk).

* raw total energy: -42.2 eV for the cell shown
* density of states at the Fermi level: 4.4 states/eV/f.u.
* M_tot: 0.000 μB per formula unit
* ΔH_f (0 K): -0.36 eV/atom

Cell lengths 4.325, 4.325, 11.165 Å; angles 90.00, 90.00, 90.00 degrees
Space group P-4m2 (No. 115)
Inequivalent atoms, fractional coordinates:
Pr (0.000, 0.500, 0.247) x2
Al (0.000, 0.000, 0.000) x1
Al (0.000, 0.500, 0.635) x2
Al (0.000, 0.500, 0.862) x2
Al (0.500, 0.500, 0.000) x1
Al (0.500, 0.500, 0.500) x1
Ag (0.000, 0.000, 0.500) x1



(2)
# PrAl4Ag2Pt

A relaxed PrAl4Ag2Pt crystal (PBE, Alexandria via LeMat-Bulk).

* raw total energy: -105.3 eV for the cell shown
* density of states at the Fermi level: 3.0 states/eV/f.u.
* M_tot: 0.000 μB per formula unit
* ΔH_f (0 K): -0.45 eV/atom

Cell lengths 4.4035, 4.4035, 27.2182 Å; angles 90.00, 90.00, 120.00 degrees
Space group R-3m (No. 166, hexagonal axes)
Inequivalent atoms, fractional coordinates:
Pr (0.0000, 0.0000, 0.0000) x3
Al (0.0000, 0.0000, 0.1338) x6
Al (0.0000, 0.0000, 0.4048) x6
Ag (0.0000, 0.0000, 0.2457) x6
Pt (0.0000, 0.0000, 0.5000) x3



(3)
# Pr2Al3AgPt4

A relaxed Pr2Al3AgPt4 crystal (PBE, Alexandria via LeMat-Bulk).

* raw total energy: -57.2 eV for the cell shown
* density of states at the Fermi level: 6.8 states/eV/f.u.
* M_tot: 0.000 μB per formula unit
* ΔH_f (0 K): -0.94 eV/atom

Cell lengths 4.306, 4.306, 10.728 Å; angles 90.00, 90.00, 90.00 degrees
Space group P-4m2 (No. 115)
Inequivalent atoms, fractional coordinates:
Pr (0.000, 0.500, 0.247) x2
Al (0.000, 0.500, 0.880) x2
Al (0.500, 0.500, 0.500) x1
Ag (0.000, 0.000, 0.500) x1
Pt (0.000, 0.000, 0.000) x1
Pt (0.000, 0.500, 0.651) x2
Pt (0.500, 0.500, 0.000) x1



(4)
# Pr2Al2AgPt5

A relaxed Pr2Al2AgPt5 crystal (PBE, Alexandria via LeMat-Bulk).

* raw total energy: -115.7 eV for the cell shown
* density of states at the Fermi level: 5.7 states/eV/f.u.
* M_tot: 0.000 μB per formula unit
* ΔH_f (0 K): -0.77 eV/atom

Cell lengths 10.082, 10.082, 3.722 Å; angles 90.00, 90.00, 90.00 degrees
Space group P4/mbm (No. 127)
Inequivalent atoms, fractional coordinates:
Pr (0.180, 0.320, 0.000) x4
Al (0.118, 0.618, 0.000) x4
Ag (0.000, 0.000, 0.000) x2
Pt (0.000, 0.500, 0.500) x2
Pt (0.061, 0.788, 0.500) x8



(5)
# Pr2AlAgSe5

A relaxed Pr2AlAgSe5 crystal (PBE, Alexandria via LeMat-Bulk).

* E_form (uncorrected): -1279 meV/atom
* raw total energy: -180.4 eV for the cell shown
* M_tot: 0.000 μB per formula unit

Cell lengths 4.077, 18.446, 11.909 Å; angles 90.00, 90.00, 90.00 degrees
Space group Cmc2_1 (No. 36)
Inequivalent atoms, fractional coordinates:
Pr (0.000, 0.119, 0.000) x4
Pr (0.000, 0.126, 0.618) x4
Al (0.000, 0.428, 0.772) x4
Ag (0.000, 0.224, 0.341) x4
Se (0.000, 0.042, 0.379) x4
Se (0.000, 0.290, 0.995) x4
Se (0.000, 0.316, 0.671) x4
Se (0.000, 0.367, 0.313) x4
Se (0.000, 0.497, 0.598) x4



(6)
# PrSmAlAg

A relaxed PrSmAlAg crystal (PBE, Alexandria via LeMat-Bulk).

* energy relative to the lowest polymorph listed for this composition: 31 meV per atom
* raw total energy: -68.9 eV for the cell shown
* density of states at the Fermi level: 4.8 states/eV/f.u.
* M_tot: 0.004 μB per formula unit
* ΔH_f (0 K): -0.29 eV/atom

Cell lengths 7.515, 7.515, 7.515 Å; angles 90.00, 90.00, 90.00 degrees
Space group F-43m (No. 216)
Inequivalent atoms, fractional coordinates:
Pr (0.000, 0.000, 0.000) x4
Sm (0.000, 0.000, 0.500) x4
Al (0.250, 0.250, 0.750) x4
Ag (0.250, 0.250, 0.250) x4



(7)
# PrSmAlAg

A relaxed PrSmAlAg crystal (PBE, Alexandria via LeMat-Bulk).

* energy relative to the lowest polymorph listed for this composition: 0 meV per atom
* raw total energy: -17.4 eV for the cell shown
* density of states at the Fermi level: 4.0 states/eV/f.u.
* M_tot: 0.000 μB per formula unit
* ΔH_f (0 K): -0.32 eV/atom

Cell lengths 3.656, 3.656, 7.787 Å; angles 90.00, 90.00, 90.00 degrees
Space group P4mm (No. 99)
Inequivalent atoms, fractional coordinates:
Pr (0.000, 0.000, 0.000) x1
Sm (0.000, 0.000, 0.507) x1
Al (0.500, 0.500, 0.748) x1
Ag (0.500, 0.500, 0.270) x1



(8)
# Pr2Al4Ag3Sn

A relaxed Pr2Al4Ag3Sn crystal (PBE, Alexandria via LeMat-Bulk).

* raw total energy: -40.8 eV for the cell shown
* density of states at the Fermi level: 4.7 states/eV/f.u.
* M_tot: 0.000 μB per formula unit
* ΔH_f (0 K): -0.37 eV/atom

Cell lengths 4.423, 4.423, 11.103 Å; angles 90.00, 90.00, 90.00 degrees
Space group P-4m2 (No. 115)
Inequivalent atoms, fractional coordinates:
Pr (0.000, 0.500, 0.245) x2
Al (0.000, 0.000, 0.000) x1
Al (0.000, 0.500, 0.649) x2
Al (0.500, 0.500, 0.000) x1
Ag (0.000, 0.500, 0.874) x2
Ag (0.500, 0.500, 0.500) x1
Sn (0.000, 0.000, 0.500) x1



Look up the raw total energy of the fourth one. -115.7 eV for the cell shown



What is the raw total energy in the third record? -57.2 eV for the cell shown



Among the records above, which one has the lowest raw total energy? Pr2AlAgSe5



Copy entry 2 word for word.
# PrAl4Ag2Pt

A relaxed PrAl4Ag2Pt crystal (PBE, Alexandria via LeMat-Bulk).

* raw total energy: -105.3 eV for the cell shown
* density of states at the Fermi level: 3.0 states/eV/f.u.
* M_tot: 0.000 μB per formula unit
* ΔH_f (0 K): -0.45 eV/atom

Cell lengths 4.4035, 4.4035, 27.2182 Å; angles 90.00, 90.00, 120.00 degrees
Space group R-3m (No. 166, hexagonal axes)
Inequivalent atoms, fractional coordinates:
Pr (0.0000, 0.0000, 0.0000) x3
Al (0.0000, 0.0000, 0.1338) x6
Al (0.0000, 0.0000, 0.4048) x6
Ag (0.0000, 0.0000, 0.2457) x6
Pt (0.0000, 0.0000, 0.5000) x3